Entry 1:
# KNb2IrO8 (PBE, relaxed)
# Spin magnetization in μB/atom: 0.000
# E_form (uncorrected) in eV/atom: -1.85
# E_tot in eV/atom: -7.666
# D(E_F) in states/eV/f.u.: 7.43
data_KNb2IrO8
_chemical_formula_sum 'K2 Nb4 Ir2 O16'
_cell_length_a 8.624
_cell_length_b 6.297
_cell_length_c 7.185
_cell_angle_alpha 90.00
_cell_angle_beta 104.91
_cell_angle_gamma 90.00
_symmetry_space_group_name_H-M 'C 1 2/m 1'
_symmetry_Int_Tables_number 12
_symmetry_space_group_name_Hall '-C 2y'
loop_
_atom_site_label
_atom_site_type_symbol
_atom_site_fract_x
_atom_site_fract_y
_atom_site_fract_z
K1 K 0.000 0.000 0.000
Nb1 Nb 0.061 0.500 0.227
Ir1 Ir 0.000 0.000 0.500
O1 O 0.013 0.229 0.315
O2 O 0.147 0.500 0.003
O3 O 0.226 0.000 0.596

***

Entry 2:
# LiPm2Ho (PBE, relaxed)
# Spin magnetization in μB/atom: 0.000
# E_tot in eV/atom: -3.880
# D(E_F) in states/eV/f.u.: 3.83
# Energy relative to the lowest polymorph listed for this composition in meV per atom: 52
# Formation enthalpy at 0 K in meV per atom: 118.5
data_LiPm2Ho
_chemical_formula_sum 'Li1 Pm2 Ho1'
_cell_length_a 3.5284
_cell_length_b 3.5284
_cell_length_c 11.8411
_cell_angle_alpha 90.00
_cell_angle_beta 90.00
_cell_angle_gamma 120.00
_symmetry_space_group_name_H-M 'P 3 m 1'
_symmetry_Int_Tables_number 156
_symmetry_space_group_name_Hall 'P 3 -2"'
loop_
_atom_site_label
_atom_site_type_symbol
_atom_site_fract_x
_atom_site_fract_y
_atom_site_fract_z
Li1 Li 0.0000 0.0000 0.0000
Pm1 Pm 0.0000 0.0000 0.7254
Pm2 Pm 0.6667 0.3333 0.2397
Ho1 Ho 0.3333 0.6667 0.4846

***

Entry 3:
# CsZnInAs (PBE, relaxed)
# Spin magnetization in μB/atom: 0.000
# E_tot in eV/atom: -2.626
# D(E_F) in states/eV/f.u.: 2.79
# Formation enthalpy at 0 K in meV per atom: -247.5
data_CsZnInAs
_chemical_formula_sum 'Cs2 Zn2 In2 As2'
_cell_length_a 4.239
_cell_length_b 4.239
_cell_length_c 14.953
_cell_angle_alpha 90.00
_cell_angle_beta 90.00
_cell_angle_gamma 90.00
_symmetry_space_group_name_H-M 'P 4/n m m'
_symmetry_Int_Tables_number 129
loop_
_symmetry_equiv_pos_as_xyz
'x,y,z'
'-x,-y,-z'
'-y+1/2,x,z'
'y+1/2,-x,-z'
'-x+1/2,-y+1/2,z'
'x+1/2,y+1/2,-z'
'y,-x+1/2,z'
'-y,x+1/2,-z'
'x+1/2,-y,-z'
'-x+1/2,y,z'
'-y,-x,-z'
'y,x,z'
'-x,y+1/2,-z'
'x,-y+1/2,z'
'y+1/2,x+1/2,-z'
'-y+1/2,-x+1/2,z'
loop_
_atom_site_label
_atom_site_type_symbol
_atom_site_fract_x
_atom_site_fract_y
_atom_site_fract_z
Cs1 Cs 0.250 0.250 0.235
Zn1 Zn 0.250 0.750 0.000
In1 In 0.250 0.750 0.500
As1 As 0.250 0.250 0.899

***

Q: Which value of spin magnetization does entry 1 give?
A: 0.000 μB/atom